Material: ReAgP
Method: DFT, PBE-GGA
State: relaxed

```
data_ReAgP
_chemical_formula_sum 'Re4 Ag4 P4'
_cell_length_a 8.258
_cell_length_b 2.944
_cell_length_c 8.545
_cell_angle_alpha 90.00
_cell_angle_beta 91.90
_cell_angle_gamma 90.00
_space_group_name_H-M_alt 'C 1 m 1'
_space_group_IT_number 8
loop_
_space_group_symop_operation_xyz
'x,y,z'
'x,-y,z'
'x+1/2,y+1/2,z'
'x+1/2,-y+1/2,z'
loop_
_atom_site_label
_atom_site_type_symbol
_atom_site_fract_x
_atom_site_fract_y
_atom_site_fract_z
_atom_site_occupancy
Re1 Re 0.000 0.000 0.000 1
Re2 Re 0.188 0.500 0.786 1
Ag1 Ag 0.177 0.000 0.496 1
Ag2 Ag 0.457 0.000 0.294 1
P1 P 0.217 0.500 0.065 1
P2 P 0.407 0.000 0.766 1
```

Calculated values
Energy of formation, eV/atom: 0.040
Relative energy among the computed polymorphs, eV per atom: 0.001
VASP energy, eV per formula unit: -20.6
Density, g cm⁻³: 10.4